# GGA-PBE HgAuF3, relaxed
data_HgAuF3
_chemical_formula_sum 'Hg2 Au2 F6'
_cell_length_a 6.029
_cell_length_b 3.491
_cell_length_c 8.872
_cell_angle_alpha 90.00
_cell_angle_beta 106.03
_cell_angle_gamma 90.00
_symmetry_space_group_name_H-M 'P 1 21/m 1'
_symmetry_Int_Tables_number 11
loop_
_symmetry_equiv_pos_as_xyz
'x,y,z'
'-x,-y,-z'
'-x,y+1/2,-z'
'x,-y+1/2,z'
loop_
_atom_site_label
_atom_site_type_symbol
_atom_site_fract_x
_atom_site_fract_y
_atom_site_fract_z
_atom_site_occupancy
Hg1 Hg 0.211 0.250 0.411 1
Au1 Au 0.376 0.750 0.042 1
F1 F 0.052 0.250 0.639 1
F2 F 0.195 0.250 0.101 1
F3 F 0.442 0.750 0.367 1
# * distance to the lowest polymorph of the same formula: 0.000 eV/atom
# * ΔE_f (raw): -1082.2 meV per atom
# * V: 179 Å³/cell


# GGA-PBE HgAuF2, relaxed
data_HgAuF2
_chemical_formula_sum 'Hg4 Au4 F8'
_cell_length_a 6.703
_cell_length_b 6.703
_cell_length_c 5.863
_cell_angle_alpha 90.00
_cell_angle_beta 90.00
_cell_angle_gamma 90.00
_symmetry_space_group_name_H-M 'I -4 2 d'
_symmetry_Int_Tables_number 122
_symmetry_space_group_name_Hall 'I -4 2bw'
loop_
_atom_site_label
_atom_site_type_symbol
_atom_site_fract_x
_atom_site_fract_y
_atom_site_fract_z
_atom_site_occupancy
Hg1 Hg 0.000 0.000 0.000 1
Au1 Au 0.000 0.000 0.500 1
F1 F 0.242 0.750 0.625 1
# * distance to the lowest polymorph of the same formula: 0.197 eV/atom
# * ΔE_f (raw): -626.2 meV per atom
# * V: 263 Å³/cell


# GGA-PBE Hg2AuF8, relaxed
data_Hg2AuF8
_chemical_formula_sum 'Hg4 Au2 F16'
_cell_length_a 9.695
_cell_length_b 7.707
_cell_length_c 4.964
_cell_angle_alpha 90.00
_cell_angle_beta 96.79
_cell_angle_gamma 90.00
_symmetry_space_group_name_H-M 'C 1 2/m 1'
_symmetry_Int_Tables_number 12
loop_
_symmetry_equiv_pos_as_xyz
'x,y,z'
'-x,-y,-z'
'-x,y,-z'
'x,-y,z'
'x+1/2,y+1/2,z'
'-x+1/2,-y+1/2,-z'
'-x+1/2,y+1/2,-z'
'x+1/2,-y+1/2,z'
loop_
_atom_site_label
_atom_site_type_symbol
_atom_site_fract_x
_atom_site_fract_y
_atom_site_fract_z
_atom_site_occupancy
Hg1 Hg 0.140 0.000 0.280 1
Au1 Au 0.000 0.500 0.000 1
F1 F 0.080 0.000 0.759 1
F2 F 0.125 0.320 0.179 1
F3 F 0.141 0.500 0.679 1
# * ΔE_f (raw): -1171.4 meV per atom
# * V: 368 Å³/cell


# GGA-PBE HgAuF6, relaxed
data_HgAuF6
_chemical_formula_sum 'Hg2 Au2 F12'
_cell_length_a 5.739
_cell_length_b 8.731
_cell_length_c 5.425
_cell_angle_alpha 90.00
_cell_angle_beta 100.74
_cell_angle_gamma 90.00
_symmetry_space_group_name_H-M 'C 1 2/m 1'
_symmetry_Int_Tables_number 12
loop_
_symmetry_equiv_pos_as_xyz
'x,y,z'
'-x,-y,-z'
'-x,y,-z'
'x,-y,z'
'x+1/2,y+1/2,z'
'-x+1/2,-y+1/2,-z'
'-x+1/2,y+1/2,-z'
'x+1/2,-y+1/2,z'
loop_
_atom_site_label
_atom_site_type_symbol
_atom_site_fract_x
_atom_site_fract_y
_atom_site_fract_z
_atom_site_occupancy
Hg1 Hg 0.000 0.000 0.000 1
Au1 Au 0.000 0.500 0.500 1
F1 F 0.181 0.348 0.729 1
F2 F 0.211 0.000 0.719 1
# * ΔE_f (raw): -1078.9 meV per atom
# * V: 267 Å³/cell


# GGA-PBE HgAu2F6, relaxed
data_HgAu2F6
_chemical_formula_sum 'Hg4 Au8 F24'
_cell_length_a 12.292
_cell_length_b 10.058
_cell_length_c 4.717
_cell_angle_alpha 90.00
_cell_angle_beta 93.22
_cell_angle_gamma 90.00
_symmetry_space_group_name_H-M 'C 1 2/c 1'
_symmetry_Int_Tables_number 15
loop_
_symmetry_equiv_pos_as_xyz
'x,y,z'
'-x,-y,-z'
'-x,y,-z+1/2'
'x,-y,z+1/2'
'x+1/2,y+1/2,z'
'-x+1/2,-y+1/2,-z'
'-x+1/2,y+1/2,-z+1/2'
'x+1/2,-y+1/2,z+1/2'
loop_
_atom_site_label
_atom_site_type_symbol
_atom_site_fract_x
_atom_site_fract_y
_atom_site_fract_z
_atom_site_occupancy
Hg1 Hg 0.000 0.223 0.250 1
Au1 Au 0.246 0.424 0.452 1
F1 F 0.089 0.415 0.519 1
F2 F 0.096 0.077 0.611 1
F3 F 0.174 0.227 0.182 1
# * ΔE_f (raw): -961.8 meV per atom
# * V: 582 Å³/cell


# GGA-PBE Hg3AuF, relaxed
data_Hg3AuF
_chemical_formula_sum 'Hg6 Au2 F2'
_cell_length_a 3.957
_cell_length_b 7.811
_cell_length_c 8.164
_cell_angle_alpha 63.52
_cell_angle_beta 84.65
_cell_angle_gamma 85.09
_symmetry_space_group_name_H-M 'P -1'
_symmetry_Int_Tables_number 2
loop_
_symmetry_equiv_pos_as_xyz
'x,y,z'
'-x,-y,-z'
loop_
_atom_site_label
_atom_site_type_symbol
_atom_site_fract_x
_atom_site_fract_y
_atom_site_fract_z
_atom_site_occupancy
Hg1 Hg 0.225 0.210 0.338 1
Hg2 Hg 0.246 0.206 0.977 1
Hg3 Hg 0.261 0.661 0.426 1
Au1 Au 0.251 0.032 0.736 1
F1 F 0.259 0.563 0.154 1
# * distance to the lowest polymorph of the same formula: 0.000 eV/atom
# * ΔE_f (raw): -375.8 meV per atom
# * V: 225 Å³/cell


What did we get for mass density? Answer: 8.4 11.0 6.8 6.4 8.1 12.1 g cm⁻³, in the order shown.